An optimized crystal structure of Hg2BiSeI, computed with PBE-GGA.

a = 5.933 Å, b = 6.112 Å, c = 5.933 Å
α = 90.00°, β = 90.00°, γ = 90.00°
Fractional coordinates of all 5 atoms:
Se1 0.500 0.500 0.500
Bi1 0.000 0.000 0.000
I1 0.000 0.500 0.000
Hg1 0.500 0.000 0.000
Hg2 0.000 0.000 0.500

Computed properties:
- Mass density: 6299 kg/m3
- Uncorrected formation energy: 371.7 meV/atom
- Magnetic moment: 0.281 μB per atom

An optimized crystal structure of SnHgBiI6, computed with PBE-GGA.

a = 7.809 Å, b = 7.809 Å, c = 7.526 Å
α = 89.93°, β = 90.06°, γ = 60.04°
Fractional coordinates of all 9 atoms:
I1 0.342 0.005 0.744
I2 0.341 0.653 0.256
I3 0.007 0.652 0.744
I4 0.652 0.007 0.256
I5 0.653 0.341 0.744
I6 0.005 0.342 0.256
Bi1 0.333 0.333 0.500
Sn1 0.667 0.667 0.500
Hg1 0.000 0.000 0.000

Computed properties:
- Mass density: 5385 kg/m3
- Uncorrected formation energy: -354.6 meV/atom
- Magnetic moment: 0.000 μB per atom

An optimized crystal structure of HgBiTeI, computed with PBE-GGA.

a = 4.403 Å, b = 4.403 Å, c = 10.856 Å
α = 89.85°, β = 90.00°, γ = 120.00°
Fractional coordinates of all 4 atoms:
I1 0.112 0.225 0.566
Bi1 0.778 0.557 0.758
Hg1 0.110 0.220 0.198
Te1 0.444 0.889 0.917

Computed properties:
- Mass density: 6049 kg/m3
- Uncorrected formation energy: -249.0 meV/atom
- Magnetic moment: 0.000 μB per atom